Entry 1:
PBE-GGA Th2MgSi4Rh3, optimized geometry; ΔE_f (raw) = -0.9060 eV per atom; magnetization = 0.00 μB/f.u.; DFT total energy = -6.9241 eV per atom
1.0
4.198 0.000 0.000
0.000 4.198 0.000
0.000 0.000 10.283
Rh Si Th Mg
3 4 2 1
direct
0.000 0.500 0.117
0.500 0.000 0.883
0.000 0.000 0.500
0.000 0.500 0.352
0.000 0.000 0.000
0.500 0.000 0.648
0.500 0.500 0.000
0.500 0.000 0.240
0.000 0.500 0.760
0.500 0.500 0.500

Entry 2:
PBE-GGA PrSc2Zn6, optimized geometry; energy relative to the lowest polymorph listed for this composition = 57 meV/atom; energy of formation = -0.259 eV/atom; magnetization = 0.00 μB/f.u.; DFT total energy = -3.0461 eV per atom
1.0
-2.032 1.503 -2.319
-5.947 2.660 4.399
-0.172 7.467 2.454
Sc Pr Zn
2 1 6
direct
0.855 0.645 0.645
0.145 0.355 0.355
0.000 0.000 0.000
0.500 0.336 0.664
0.325 0.989 0.360
0.675 0.640 0.011
0.675 0.011 0.640
0.500 0.664 0.336
0.325 0.360 0.989

Entry 3:
PBE-GGA Mg2InGe2, optimized geometry; energy of formation = -0.043 eV/atom; magnetization = 0.00 μB/f.u.; DFT total energy = -3.0751 eV per atom
1.0
4.608 0.000 0.000
0.000 4.608 0.000
2.304 2.304 5.468
Ge Mg In
2 2 1
direct
0.390 0.390 0.221
0.610 0.610 0.779
0.750 0.250 0.500
0.250 0.750 0.500
0.000 0.000 0.000

Entry 4:
PBE-GGA Dy7Co2Bi2, optimized geometry; energy of formation = -0.377 eV/atom; magnetization = 0.00 μB/f.u.; DFT total energy = -5.3036 eV per atom
1.0
3.652 0.000 0.000
1.826 9.566 -0.059
1.826 4.483 8.450
Co Bi Dy
2 2 7
direct
0.738 0.854 0.670
0.262 0.330 0.146
0.000 0.765 0.235
0.500 0.361 0.639
0.817 0.088 0.277
0.500 0.038 0.962
0.157 0.093 0.593
0.183 0.723 0.912
0.363 0.734 0.539
0.637 0.461 0.266
0.843 0.407 0.907

Entry 5:
PBE-GGA TlAgTe2, optimized geometry; ΔE_f (raw) = -0.0354 eV per atom; magnetization = 0.00 μB/f.u.; DFT total energy = -2.9107 eV per atom
1.0
4.223 0.000 0.000
2.112 3.658 0.000
2.112 1.219 7.667
Tl Ag Te
1 1 2
direct
0.500 0.500 0.500
0.668 0.668 0.997
0.264 0.264 0.207
0.068 0.068 0.797

Entry 6:
PBE-GGA YZrSn2Ge, optimized geometry; energy relative to the lowest polymorph listed for this composition = 0 meV/atom; energy of formation = 0.473 eV/atom; magnetization = 1.46 μB/f.u.; DFT total energy = -5.0536 eV per atom
1.0
5.300 0.000 0.000
0.000 5.223 0.000
0.000 0.000 5.300
Zr Y Ge Sn
1 1 1 2
direct
0.500 0.500 0.500
0.000 0.500 0.000
0.000 0.000 0.000
0.500 0.000 0.000
0.000 0.000 0.500

Entry 7:
PBE-GGA ZrTiBr2, optimized geometry; energy relative to the lowest polymorph listed for this composition = 353 meV/atom; ΔE_f (raw) = -0.0463 eV per atom; magnetization = 1.99 μB/f.u.; DFT total energy = -4.9935 eV per atom
1.0
0.000 3.373 3.373
3.373 0.000 3.373
3.373 3.373 0.000
Zr Ti Br
1 1 2
direct
0.500 0.500 0.500
0.000 0.000 0.000
0.250 0.250 0.250
0.750 0.750 0.750

Entry 8:
PBE-GGA MnTe2Au, optimized geometry; energy relative to the lowest polymorph listed for this composition = 0 meV/atom; ΔE_f (raw) = -0.0900 eV per atom; magnetization = 3.77 μB/f.u.; DFT total energy = -4.7726 eV per atom
1.0
-3.682 -1.502 0.636
2.537 -6.432 -0.501
0.562 2.089 8.186
Te Au Mn
4 2 2
direct
0.750 0.864 0.309
0.250 0.136 0.691
0.750 0.653 0.674
0.250 0.347 0.326
0.750 0.838 0.992
0.250 0.162 0.008
0.250 0.753 0.488
0.750 0.247 0.512